Density functional theory data (PBE) for an optimized crystal structure of Li2Th3Au4.

Computed properties:
DFT total energy = -44.2 eV per cell
M_tot = 0.00 μB per formula unit
E above lowest polymorph = 0.000 eV per atom
Formation energy = -0.555 eV/atom
ρ = 12.38 Mg/m³

a b c (Å): 4.7017 5.8901 8.9171
angles (deg): 115.01 90.00 113.52
Positions (direct):
Th (0.0000, 0.0000, 0.0000)
Th (0.6556, 0.3113, 0.6774)
Th (0.3444, 0.6887, 0.3226)
Li (0.6396, 0.2792, 0.3097)
Li (0.3604, 0.7208, 0.6903)
Au (0.9240, 0.8480, 0.6054)
Au (0.0760, 0.1520, 0.3946)
Au (0.7116, 0.4232, 0.0658)
Au (0.2884, 0.5768, 0.9342)